# Nd2CdPtO5 | Alexandria | GGA-PBE | relaxed
# Density of states at the Fermi level: 1.52 states/eV/f.u.
# Final energy: -6.5650 eV/atom
# Volume: 268.4 Å³ per cell
# E_form (uncorrected): -1.978 eV per atom
data_Nd2CdPtO5
_cell_length_a 6.8053
_cell_length_b 6.8053
_cell_length_c 5.7947
_cell_angle_alpha 90.00
_cell_angle_beta 90.00
_cell_angle_gamma 90.00
_space_group_name_H-M_alt 'P 4/m b m'
_space_group_IT_number 127
_space_group_name_Hall '-P 4 2ab'
loop_
_atom_site_label
_atom_site_fract_x
_atom_site_fract_y
_atom_site_fract_z
_atom_site_occupancy
Nd1 0.1729 0.3271 0.0000 1
Cd1 0.0000 0.0000 0.5000 1
Pt1 0.0000 0.5000 0.5000 1
O1 0.0000 0.0000 0.0000 1
O2 0.1423 0.6423 0.2479 1



# Nd2CdPtO6 | Alexandria | GGA-PBE | relaxed
# Density of states at the Fermi level: 0.00 states/eV/f.u.
# Final energy: -6.6471 eV/atom
# Volume: 427.6 Å³ per cell
# E_form (uncorrected): -2.023 eV per atom
data_Nd2CdPtO6
_cell_length_a 5.8402
_cell_length_b 5.8402
_cell_length_c 14.4752
_cell_angle_alpha 90.00
_cell_angle_beta 90.00
_cell_angle_gamma 120.00
_space_group_name_H-M_alt 'R 3'
_space_group_IT_number 146
_space_group_name_Hall 'R 3'
loop_
_atom_site_label
_atom_site_fract_x
_atom_site_fract_y
_atom_site_fract_z
_atom_site_occupancy
Nd1 0.0000 0.0000 0.0000 1
Nd2 0.0000 0.0000 0.4942 1
Cd1 0.0000 0.0000 0.2285 1
Pt1 0.0000 0.0000 0.7153 1
O1 0.0012 0.3906 0.4542 1
O2 0.0743 0.6961 0.2946 1



# NdPuCdO6 | Alexandria | GGA-PBE | relaxed
# Final energy: -7.7735 eV/atom
# Volume: 140.2 Å³ per cell
# E_form (uncorrected): -2.244 eV per atom
data_NdPuCdO6
_cell_length_a 5.8697
_cell_length_b 5.8697
_cell_length_c 4.6982
_cell_angle_alpha 90.00
_cell_angle_beta 90.00
_cell_angle_gamma 120.00
_space_group_name_H-M_alt 'P 3 1 2'
_space_group_IT_number 149
loop_
_space_group_symop_operation_xyz
'x,y,z'
'-y,x-y,z'
'-x+y,-x,z'
'-y,-x,-z'
'-x+y,y,-z'
'x,x-y,-z'
loop_
_atom_site_label
_atom_site_fract_x
_atom_site_fract_y
_atom_site_fract_z
_atom_site_occupancy
Nd1 0.0000 0.0000 0.0000 1
Pu1 0.3333 0.6667 0.0000 1
Cd1 0.6667 0.3333 0.5000 1
O1 0.0406 0.3756 0.2298 1



# NdPuCd2O6 | Alexandria | GGA-PBE | relaxed
# Density of states at the Fermi level: 9.71 states/eV/f.u.
# Final energy: -7.2678 eV/atom
# Volume: 457.6 Å³ per cell
# E_form (uncorrected): -2.200 eV per atom
data_NdPuCd2O6
_cell_length_a 5.8278
_cell_length_b 5.8278
_cell_length_c 15.5591
_cell_angle_alpha 90.00
_cell_angle_beta 90.00
_cell_angle_gamma 120.00
_space_group_name_H-M_alt 'R 3'
_space_group_IT_number 146
_space_group_name_Hall 'R 3'
loop_
_atom_site_label
_atom_site_fract_x
_atom_site_fract_y
_atom_site_fract_z
_atom_site_occupancy
Nd1 0.0000 0.0000 0.0000 1
Pu1 0.0000 0.0000 0.4918 1
Cd1 0.0000 0.0000 0.2758 1
Cd2 0.0000 0.0000 0.7851 1
O1 0.0356 0.3356 0.5637 1
O2 0.0514 0.6752 0.0704 1



# RbNdCdO3 | Alexandria | GGA-PBE | relaxed
# Density of states at the Fermi level: 0.00 states/eV/f.u.
# Final energy: -5.5747 eV/atom
# Volume: 243.3 Å³ per cell
# E_form (uncorrected): -1.987 eV per atom
data_RbNdCdO3
_cell_length_a 6.9674
_cell_length_b 3.7494
_cell_length_c 9.6839
_cell_angle_alpha 90.00
_cell_angle_beta 105.93
_cell_angle_gamma 90.00
_space_group_name_H-M_alt 'P 1 21/m 1'
_space_group_IT_number 11
loop_
_space_group_symop_operation_xyz
'x,y,z'
'-x,-y,-z'
'-x,y+1/2,-z'
'x,-y+1/2,z'
loop_
_atom_site_label
_atom_site_fract_x
_atom_site_fract_y
_atom_site_fract_z
_atom_site_occupancy
Rb1 0.1380 0.2500 0.1856 1
Nd1 0.3767 0.2500 0.8426 1
Cd1 0.1867 0.7500 0.5463 1
O1 0.0478 0.2500 0.6513 1
O2 0.3120 0.7500 0.9859 1
O3 0.4546 0.7500 0.7126 1



# Nd2CdReO8 | Alexandria | GGA-PBE | relaxed
# Density of states at the Fermi level: 7.69 states/eV/f.u.
# Final energy: -7.2784 eV/atom
# Volume: 175.8 Å³ per cell
# E_form (uncorrected): -2.065 eV per atom
data_Nd2CdReO8
_cell_length_a 4.7180
_cell_length_b 5.0976
_cell_length_c 7.3420
_cell_angle_alpha 93.35
_cell_angle_beta 90.90
_cell_angle_gamma 94.08
_space_group_name_H-M_alt 'P -1'
_space_group_IT_number 2
loop_
_space_group_symop_operation_xyz
'x,y,z'
'-x,-y,-z'
loop_
_atom_site_label
_atom_site_fract_x
_atom_site_fract_y
_atom_site_fract_z
_atom_site_occupancy
Nd1 0.0868 0.0194 0.2539 1
Cd1 0.5000 0.5000 0.0000 1
Re1 0.5000 0.5000 0.5000 1
O1 0.1899 0.2611 0.5433 1
O2 0.2066 0.1820 0.9771 1
O3 0.3039 0.6097 0.2853 1
O4 0.3556 0.7631 0.6560 1